## Dy2ScO4 (PBE)

Data for a relaxed Dy2ScO4 crystal.

```
Dy2ScO4
1.0
5.657 -1.675 0.000
5.657 1.675 0.000
-2.806 0.000 5.137
Dy Sc O
2 1 4
direct
0.199 0.199 0.200
0.801 0.801 0.800
0.500 0.500 0.500
0.142 0.142 0.521
0.378 0.378 0.088
0.622 0.622 0.912
0.858 0.858 0.479
```

As for the electronic total energy: -57.94 eV/cell. As for the formation energy without anion corrections: -3.225 eV per atom. The value obtained for the volume is 13.90 A^3/atom. The density of states at the Fermi level is 1.7 states/eV/cell. The space group is No. 12.

=====

## Li2TaSe4 (PBE)

Data for a relaxed Li2TaSe4 crystal.

```
Li2TaSe4
1.0
6.880 -1.861 0.000
6.880 1.861 0.000
-2.962 0.000 5.867
Li Ta Se
2 1 4
direct
0.201 0.201 0.209
0.799 0.799 0.791
0.500 0.500 0.500
0.141 0.141 0.543
0.427 0.427 0.064
0.573 0.573 0.936
0.859 0.859 0.457
```

As for the electronic total energy: -35.16 eV/cell. As for the formation energy without anion corrections: -0.792 eV per atom. The value obtained for the volume is 21.46 A^3/atom. The density of states at the Fermi level is 1.0 states/eV/cell. The space group is No. 12.

=====

## Hg2PbO (PBE)

Data for a relaxed Hg2PbO crystal.

```
Hg2PbO
1.0
-4.084 4.084 2.645
4.084 -4.084 2.645
4.084 4.084 -2.645
Hg Pb O
4 2 2
direct
0.058 0.125 0.433
0.375 0.942 0.067
0.692 0.625 0.567
0.875 0.308 0.933
0.250 0.750 0.500
0.500 0.500 0.000
0.000 0.000 0.000
0.750 0.250 0.500
```

As for the electronic total energy: -19.44 eV/cell. As for the formation energy without anion corrections: -0.112 eV per atom. The value obtained for the volume is 22.06 A^3/atom. The density of states at the Fermi level is 0.6 states/eV/cell. The space group is No. 122.

=====

## CePaSi (PBE)

Data for a relaxed CePaSi crystal.

```
CePaSi
1.0
4.921 0.000 0.000
-2.461 4.262 0.000
0.000 0.000 2.965
Ce Pa Si
1 1 1
direct
0.000 0.000 0.000
0.667 0.333 0.000
0.333 0.667 0.500
```

As for the electronic total energy: -21.15 eV/cell. As for the formation energy without anion corrections: -0.100 eV per atom. The value obtained for the volume is 20.73 A^3/atom. The density of states at the Fermi level is 5.7 states/eV/cell. The space group is No. 187.

=====

## FeMo2 (PBE)

Data for a relaxed FeMo2 crystal.

```
FeMo2
1.0
1.577 -6.389 0.000
1.577 6.389 0.000
0.000 0.000 4.340
Fe Mo
2 4
direct
0.085 0.915 0.750
0.915 0.085 0.250
0.247 0.753 0.250
0.422 0.578 0.750
0.578 0.422 0.250
0.753 0.247 0.750
```

Its formation energy is 14 kJ per mole of atoms. As for the electronic total energy: -59.38 eV/cell. The value obtained for the volume is 14.57 A^3/atom. The density of states at the Fermi level is 5.9 states/eV/cell. The space group is No. 63.

=====

## Ca2SnIrC (PBE)

Data for a relaxed Ca2SnIrC crystal.

```
Ca2SnIrC
1.0
4.853 0.000 0.000
0.000 4.853 0.000
0.000 0.000 4.359
Ca Sn Ir C
2 1 1 1
direct
0.000 0.500 0.000
0.500 0.000 0.000
0.000 0.000 0.500
0.500 0.500 0.500
0.000 0.000 0.000
```

Its formation energy is 31 kJ per mole of atoms. As for the electronic total energy: -24.47 eV/cell. The value obtained for the volume is 20.54 A^3/atom. The density of states at the Fermi level is 2.0 states/eV/cell. The space group is No. 123.

=====

## TiNb2Ir (PBE)

Data for a relaxed TiNb2Ir crystal.

```
TiNb2Ir
1.0
3.824 0.000 0.000
0.000 3.824 0.000
0.000 0.000 4.611
Ti Nb Ir
1 2 1
direct
0.000 0.000 0.000
0.000 0.500 0.500
0.500 0.000 0.500
0.500 0.500 0.000
```

Its formation energy is -27 kJ per mole of atoms. As for the electronic total energy: -38.03 eV/cell. The value obtained for the volume is 16.85 A^3/atom. The density of states at the Fermi level is 4.2 states/eV/cell. The space group is No. 123.

=====

## AcHoCu (PBE)

Data for a relaxed AcHoCu crystal.

```
AcHoCu
1.0
4.650 0.000 0.000
-2.325 4.027 0.000
0.000 0.000 4.856
Ac Ho Cu
1 1 1
direct
0.000 0.000 0.000
0.667 0.333 0.500
0.333 0.667 0.500
```

Its formation energy is 5 kJ per mole of atoms. As for the electronic total energy: -12.62 eV/cell. The value obtained for the volume is 30.31 A^3/atom. The density of states at the Fermi level is 2.9 states/eV/cell. The space group is No. 187.